Entry from Alexandria: a geometry-optimized Ga4Co structure (PBE-GGA).

Structure (extended XYZ):
```
5
Lattice="3.578 -0.003 1.692 1.388 3.298 1.692 -0.932 -0.619 6.615" Properties=species:S:1:pos:R:3 pbc="T T T"
Ga 1.052 0.698 7.049
Ga 3.964 2.630 5.510
Ga 2.981 1.978 2.949
Ga 0.069 0.046 4.489
Co 0.000 0.000 0.000
```

Output
**Space group**: No. 12
**DOS at the Fermi energy**: 0.46 states/eV per atom
**Energy above the most stable polymorph in this dataset**: 0.024 eV per formula unit

***

Entry from Alexandria: a geometry-optimized ZrTl2As structure (PBE-GGA).

Structure (extended XYZ):
```
4
Lattice="3.233 0.078 0.000 -0.948 3.092 0.000 0.000 0.000 9.465" Properties=species:S:1:pos:R:3 pbc="T T T"
Tl 0.000 0.000 9.446
Tl 0.000 0.000 4.751
Zr 1.142 1.585 2.366
As 1.142 1.585 7.098
```

Output
**Space group**: No. 65
**DOS at the Fermi energy**: 0.76 states/eV per atom
**Energy above the most stable polymorph in this dataset**: 2.202 eV per formula unit

***

Entry from Alexandria: a geometry-optimized Th2ZnBi structure (PBE-GGA).

Structure (extended XYZ):
```
4
Lattice="4.023 0.000 0.000 0.000 4.023 0.000 0.000 0.000 6.946" Properties=species:S:1:pos:R:3 pbc="T T T"
Th 0.000 0.000 5.149
Th 0.000 0.000 1.797
Zn 2.012 2.012 3.473
Bi 2.012 2.012 0.000
```

Output
**Space group**: No. 123
**DOS at the Fermi energy**: 0.87 states/eV per atom
**Energy above the most stable polymorph in this dataset**: 0.158 eV per formula unit

***

Entry from Alexandria: a geometry-optimized BaInAs2Se structure (PBE-GGA).

Structure (extended XYZ):
```
5
Lattice="-5.260 0.403 -0.111 -0.354 -5.042 -1.515 -0.236 -1.599 5.375" Properties=species:S:1:pos:R:3 pbc="T T T"
As -0.177 -2.521 -0.758
As -2.630 0.201 -0.056
Ba -2.925 -3.119 1.874
In 0.000 0.000 0.000
Se -0.118 -0.799 2.688
```

Output
**Space group**: No. 123
**DOS at the Fermi energy**: 1.11 states/eV per atom
**Energy above the most stable polymorph in this dataset**: 0.000 eV per formula unit

***

Entry from Alexandria: a geometry-optimized YTeAs2 structure (PBE-GGA).

Structure (extended XYZ):
```
4
Lattice="-2.250 3.684 -2.802 -4.422 -0.968 -2.448 -4.373 2.167 1.633" Properties=species:S:1:pos:R:3 pbc="T T T"
Te -5.523 2.442 -1.809
As -2.761 1.221 -0.904
As 0.000 0.000 0.000
Y -8.284 3.662 -2.713
```

Output
**E_tot**: -4.948 eV/atom
**Space group**: No. 216
**DOS at the Fermi energy**: 1.20 states/eV per atom

***

Entry from Alexandria: a geometry-optimized FeAsSe2N structure (PBE-GGA).

Structure (extended XYZ):
```
5
Lattice="-2.534 3.080 1.974 -3.653 -2.263 -1.159 0.191 -2.160 3.615" Properties=species:S:1:pos:R:3 pbc="T T T"
Se -1.826 -1.131 -0.579
Se -1.267 1.540 0.987
N 0.000 0.000 0.000
As 0.095 -1.080 1.808
Fe -2.998 -0.671 2.215
```

Output
**Space group**: No. 123
**DOS at the Fermi energy**: 1.02 states/eV per atom
**Energy above the most stable polymorph in this dataset**: 3.312 eV per formula unit

***

Entry from Alexandria: a geometry-optimized BaCdIn2Ni structure (PBE-GGA).

Structure (extended XYZ):
```
5
Lattice="5.077 0.000 0.000 0.000 5.077 0.000 0.000 0.000 5.182" Properties=species:S:1:pos:R:3 pbc="T T T"
Ba 2.539 2.539 2.591
Ni 0.000 0.000 0.000
In 2.539 0.000 0.000
In 0.000 2.539 0.000
Cd 0.000 0.000 2.591
```

Output
**Space group**: No. 123
**DOS at the Fermi energy**: 0.59 states/eV per atom
**Energy above the most stable polymorph in this dataset**: 0.000 eV per formula unit

***

Entry from Alexandria: a geometry-optimized La2CuRe structure (PBE-GGA).

Structure (extended XYZ):
```
4
Lattice="8.478 -0.212 -0.126 7.699 3.557 -0.126 7.699 1.592 3.183" Properties=species:S:1:pos:R:3 pbc="T T T"
La 23.772 4.916 2.919
La 12.043 2.490 1.479
Cu 17.907 3.703 2.199
Re 5.969 1.234 0.733
```

Output
**Space group**: No. 166
**DOS at the Fermi energy**: 1.05 states/eV per atom
**Energy above the most stable polymorph in this dataset**: 1.297 eV per formula unit

***

Entry from Alexandria: a geometry-optimized TbSi3Ni3 structure (PBE-GGA).

Structure (extended XYZ):
```
14
Lattice="6.201 0.000 0.000 0.000 6.201 0.000 0.000 0.000 6.201" Properties=species:S:1:pos:R:3 pbc="T T T"
Ni 3.100 1.550 0.000
Ni 4.651 0.000 3.100
Ni 0.000 3.100 1.550
Ni 3.100 4.651 0.000
Ni 0.000 3.100 4.651
Ni 1.550 0.000 3.100
Si 0.000 4.651 3.100
Si 0.000 1.550 3.100
Si 3.100 0.000 1.550
Si 1.550 3.100 0.000
Si 4.651 3.100 0.000
Si 3.100 0.000 4.651
Tb 3.100 3.100 3.100
Tb 0.000 0.000 0.000
```

Output
**E_tot**: -5.758 eV/atom
**Space group**: No. 223
**DOS at the Fermi energy**: 0.65 states/eV per atom

***

Entry from Alexandria: a geometry-optimized MnSiIrOs structure (PBE-GGA).

Structure (extended XYZ):
```
4
Lattice="4.232 0.000 0.000 2.116 3.665 0.000 2.116 1.222 3.455" Properties=species:S:1:pos:R:3 pbc="T T T"
Si 6.348 3.665 2.592
Mn 2.116 1.222 0.864
Os 4.232 2.443 1.728
Ir 0.000 0.000 0.000
```

Output
**E_tot**: -8.955 eV/atom
**Space group**: No. 216
**DOS at the Fermi energy**: 0.60 states/eV per atom

***

Entry from Alexandria: a geometry-optimized Sm7Er2Th2 structure (PBE-GGA).

Structure (extended XYZ):
```
11
Lattice="-7.932 1.313 -3.349 4.161 -2.158 -3.810 0.155 -8.652 -0.987" Properties=species:S:1:pos:R:3 pbc="T T T"
Er -5.517 -1.259 -3.327
Er 1.901 -8.238 -4.819
Sm -2.465 -0.298 -2.127
Sm -1.152 -9.199 -6.019
Sm 0.000 0.000 0.000
Sm -0.577 -5.832 -4.447
Sm -6.670 -4.266 -4.471
Sm -3.040 -3.665 -3.699
Sm 3.054 -5.231 -3.675
Th 0.428 -2.638 -2.826
Th -4.044 -6.859 -5.320
```

Output
**Space group**: No. 12
**DOS at the Fermi energy**: 1.37 states/eV per atom
**Energy above the most stable polymorph in this dataset**: 0.126 eV per formula unit

***

Entry from Alexandria: a geometry-optimized Hg4SbBr2 structure (PBE-GGA).

Structure (extended XYZ):
```
7
Lattice="-5.339 1.215 1.584 0.756 -2.956 4.814 0.205 5.506 6.723" Properties=species:S:1:pos:R:3 pbc="T T T"
Br -2.740 2.966 9.000
Br -1.638 0.798 4.122
Sb 0.000 0.000 0.000
Hg -2.669 0.607 0.792
Hg -3.642 0.662 7.727
Hg 0.378 -1.478 2.407
Hg -0.736 3.103 5.395
```

Output
**E_tot**: -1.419 eV/atom
**Space group**: No. 139
**DOS at the Fermi energy**: 0.18 states/eV per atom

***

Entry from Alexandria: a geometry-optimized LiCoNiB structure (PBE-GGA).

Structure (extended XYZ):
```
4
Lattice="-3.355 1.102 0.887 -0.945 0.320 3.502 -0.508 3.299 1.455" Properties=species:S:1:pos:R:3 pbc="T T T"
Co 0.000 0.000 0.000
Li -1.202 1.180 1.461
Ni -2.404 2.360 2.922
B -3.606 3.541 4.383
```

Output
**E_tot**: -5.436 eV/atom
**Space group**: No. 216
**DOS at the Fermi energy**: 0.47 states/eV per atom

***

Entry from Alexandria: a geometry-optimized LiTb6Hg5 structure (PBE-GGA).

Structure (extended XYZ):
```
12
Lattice="-1.765 -2.364 -4.332 8.636 2.540 -1.734 -1.853 -5.628 6.996" Properties=species:S:1:pos:R:3 pbc="T T T"
Hg -1.131 -5.560 3.495
Hg 5.140 -0.182 1.175
Hg 6.150 0.109 -2.565
Hg 1.643 -2.906 4.086
Hg 2.509 -2.725 0.465
Tb 3.019 0.017 -1.239
Tb 5.534 -2.715 -0.773
Tb -0.516 -2.736 1.703
Tb 2.000 -5.468 2.169
Tb 4.622 -2.880 2.859
Tb 0.396 -2.571 -1.929
Li 0.000 0.000 0.000
```

Output
**E_tot**: -3.007 eV/atom
**Space group**: No. 71
**DOS at the Fermi energy**: 1.12 states/eV per atom

***

Entry from Alexandria: a geometry-optimized HoNi2Ge structure (PBE-GGA).

Structure (extended XYZ):
```
4
Lattice="-2.023 3.888 -0.579 -3.390 0.330 -2.818 -4.100 0.608 1.536" Properties=species:S:1:pos:R:3 pbc="T T T"
Ho 0.000 0.000 0.000
Ni -7.135 3.619 -1.396
Ni -2.378 1.206 -0.465
Ge -4.756 2.413 -0.930
```

Output
**E_tot**: -5.625 eV/atom
**Space group**: No. 225
**DOS at the Fermi energy**: 0.94 states/eV per atom

***

Entry from Alexandria: a geometry-optimized TaCrIrSe2 structure (PBE-GGA).

Structure (extended XYZ):
```
5
Lattice="-0.966 -4.376 0.944 2.923 0.118 3.540 -3.398 1.345 2.760" Properties=species:S:1:pos:R:3 pbc="T T T"
Se -0.483 -2.188 0.472
Se -1.699 0.673 1.380
Cr 0.000 0.000 0.000
Ta -0.720 -1.456 3.622
Ir 1.461 0.059 1.770
```

Output
**E_tot**: -6.550 eV/atom
**Space group**: No. 123
**DOS at the Fermi energy**: 0.88 states/eV per atom

***

Entry from Alexandria: a geometry-optimized NaSr2Ga3Au4 structure (PBE-GGA).

Structure (extended XYZ):
```
10
Lattice="4.592 0.000 0.000 0.000 4.592 0.000 0.000 0.000 10.997" Properties=species:S:1:pos:R:3 pbc="T T T"
Au 2.296 2.296 0.000
Au 2.296 0.000 7.105
Au 0.000 0.000 0.000
Au 0.000 2.296 3.893
Ga 0.000 2.296 1.318
Ga 2.296 0.000 9.680
Ga 0.000 0.000 5.499
Sr 0.000 2.296 8.391
Sr 2.296 0.000 2.606
Na 2.296 2.296 5.499
```

Output
**E_tot**: -3.234 eV/atom
**Space group**: No. 115
**DOS at the Fermi energy**: 0.55 states/eV per atom

***

Entry from Alexandria: a geometry-optimized MnPd2Pt5 structure (PBE-GGA).

Structure (extended XYZ):
```
16
Lattice="3.901 0.000 0.000 0.000 5.582 0.000 0.000 0.000 11.288" Properties=species:S:1:pos:R:3 pbc="T T T"
Pt 0.000 5.560 8.399
Pt 0.000 2.791 5.644
Pt 1.950 1.406 4.241
Pt 0.000 2.769 8.534
Pt 1.950 4.176 7.048
Pt 0.000 2.813 2.755
Pt 0.000 0.000 0.000
Pt 1.950 4.197 1.404
Pt 1.950 1.385 9.885
Pt 0.000 0.022 2.889
Mn 0.000 2.791 0.000
Mn 0.000 0.000 5.644
Pd 1.950 4.169 9.912
Pd 1.950 4.205 4.268
Pd 1.950 1.378 7.020
Pd 1.950 1.413 1.376
```

Output
**Space group**: No. 55
**DOS at the Fermi energy**: 1.62 states/eV per atom
**Energy above the most stable polymorph in this dataset**: 0.000 eV per formula unit

***

Entry from Alexandria: a geometry-optimized Th2ScGeN5 structure (PBE-GGA).

Structure (extended XYZ):
```
18
Lattice="-0.339 3.345 -0.316 -1.463 -1.179 7.139 9.755 1.197 2.197" Properties=species:S:1:pos:R:3 pbc="T T T"
Sc 3.853 2.569 5.009
Sc -0.594 0.219 2.953
Ge 2.936 0.984 7.261
Ge 8.944 2.862 2.643
N 6.035 1.427 8.630
N 5.571 1.087 5.522
N 2.567 0.763 5.322
N 7.750 2.890 4.231
N -1.078 0.361 4.979
N 2.586 2.018 0.541
N 3.688 2.777 7.387
N 0.787 2.081 3.138
N 0.314 0.102 0.743
N 4.317 2.424 2.980
Th 6.458 2.996 6.738
Th 2.518 0.493 2.512
Th 6.259 0.932 3.145
Th 0.350 2.266 5.573
```

Output
**E_tot**: -8.694 eV/atom
**Space group**: No. 36
**DOS at the Fermi energy**: 0.00 states/eV per atom

***

Entry from Alexandria: a geometry-optimized Li4Y3AsS8 structure (PBE-GGA).

Structure (extended XYZ):
```
16
Lattice="-5.348 -2.245 -5.116 5.476 -1.475 -5.077 0.200 -3.195 7.038" Properties=species:S:1:pos:R:3 pbc="T T T"
S 0.124 -2.517 0.975
S -2.562 -3.718 -1.537
S 0.016 -2.827 -7.658
S 0.312 -4.088 4.503
S 2.793 -1.661 -5.000
S 0.204 -4.398 -4.129
S 2.889 -3.197 -1.618
S -2.465 -5.254 1.846
Li 0.100 -1.597 3.519
Li -2.574 -2.720 0.961
Li 0.000 0.000 0.000
Li -2.674 -1.122 -2.558
Y 2.838 -2.335 0.981
Y 0.164 -3.457 -1.577
Y 0.064 -1.860 -5.096
As 2.738 -0.737 -2.538
```

Output
**E_tot**: -5.560 eV/atom
**Space group**: No. 166
**DOS at the Fermi energy**: 0.00 states/eV per atom

***

Entry from Alexandria: a geometry-optimized Pr2P3Pt12Au structure (PBE-GGA).

Structure (extended XYZ):
```
18
Lattice="-2.813 5.715 4.345 -7.576 1.221 -0.752 -4.267 -2.285 6.002" Properties=species:S:1:pos:R:3 pbc="T T T"
Pt -5.580 1.199 0.892
Pt -5.434 2.382 6.732
Pt -11.378 1.280 6.239
Pt -10.676 5.147 5.439
Pt -7.273 4.331 2.978
Pt -9.222 2.269 2.863
Pt -9.076 3.452 8.703
Pt -3.980 -0.496 4.156
Pt -3.278 3.371 3.356
Pt -7.383 0.320 6.617
Pt -8.081 -0.116 3.899
Pt -6.575 4.767 5.696
P -3.788 0.611 -0.376
P -2.133 -1.143 3.001
P -1.406 2.858 2.173
Au 0.000 0.000 0.000
Pr -8.931 2.834 5.847
Pr -5.725 1.817 3.748
```

Output
**E_tot**: -5.991 eV/atom
**Space group**: No. 166
**DOS at the Fermi energy**: 0.40 states/eV per atom

***

Entry from Alexandria: a geometry-optimized Cu3SiTe structure (PBE-GGA).

Structure (extended XYZ):
```
5
Lattice="-4.151 -1.531 -0.919 1.753 -3.935 -1.363 -0.338 -1.609 4.209" Properties=species:S:1:pos:R:3 pbc="T T T"
Cu -2.075 -0.766 -0.459
Cu -0.169 -0.804 2.104
Cu 0.877 -1.967 -0.682
Te -1.368 -3.538 0.963
Si 0.000 0.000 0.000
```

Output
**Space group**: No. 221
**DOS at the Fermi energy**: 0.74 states/eV per atom
**Energy above the most stable polymorph in this dataset**: 0.000 eV per formula unit

***

Entry from Alexandria: a geometry-optimized Ac2SnRh structure (PBE-GGA).

Structure (extended XYZ):
```
4
Lattice="4.579 -0.001 -0.001 -0.001 5.201 0.006 -2.291 -2.593 5.483" Properties=species:S:1:pos:R:3 pbc="T T T"
Rh -0.003 -2.548 5.483
Sn 2.290 2.647 0.003
Ac 2.287 2.652 3.631
Ac -0.002 0.050 1.858
```

Output
**E_tot**: -5.420 eV/atom
**Space group**: No. 12
**DOS at the Fermi energy**: 0.74 states/eV per atom

***

Entry from Alexandria: a geometry-optimized HoIn3Pd2 structure (PBE-GGA).

Structure (extended XYZ):
```
12
Lattice="3.702 0.000 1.019 0.866 7.820 4.090 -0.446 -0.214 8.853" Properties=species:S:1:pos:R:3 pbc="T T T"
Pd 2.523 6.634 5.302
Pd 0.909 2.182 3.930
Pd 3.212 5.424 10.032
Pd 1.599 0.972 8.660
In 1.224 3.444 10.020
In 2.353 0.828 5.920
In 4.106 4.993 6.786
In 0.016 2.613 7.177
In 1.769 6.778 8.043
In 2.897 4.163 3.943
Ho 3.290 0.955 2.517
Ho 0.832 6.651 11.445
```

Output
**E_tot**: -4.433 eV/atom
**Space group**: No. 71
**DOS at the Fermi energy**: 0.42 states/eV per atom